{
  "formula": "Zr2IrW",
  "functional": "PBE",
  "state": "relaxed",
  "cell": [[9.971, 0.057, 0.033], [9.513, 2.986, 0.033], [9.513, 1.486, 2.591]],
  "species": ["Ir", "Zr", "Zr", "W"],
  "fractional_positions": [[0.495, 0.495, 0.495], [0.244, 0.244, 0.244], [0.004, 0.004, 0.004], [0.757, 0.757, 0.757]],
  "final_energy_ev_per_atom": -9.607,
  "formation_energy_ev_per_atom": 0.121,
  "dos_ef_per_ev_cell": 5.92
}